Entry 1:
Pr6Co2AuI3 (GGA-PBE, optimized geometry); V = 31.32 Å³/atom; mass density = 6.81 Mg/m³; magnetization = 0.0 μB per formula unit; energy relative to the elements, uncorrected = -0.670 eV per atom
1.0
10.1230 -2.0993 0.0000
10.1230 2.0993 0.0000
-3.5507 0.0000 8.8430
Pr Co Au I
6 2 1 3
Direct
0.0274 0.0274 0.2424
0.3155 0.3155 0.4459
0.3381 0.3381 0.8609
0.6619 0.6619 0.1391
0.6845 0.6845 0.5541
0.9726 0.9726 0.7576
0.1693 0.1693 0.3411
0.8307 0.8307 0.6589
0.5000 0.5000 0.0000
0.1635 0.1635 0.8362
0.5000 0.5000 0.5000
0.8365 0.8365 0.1638


Entry 2:
CoSb2AuI (GGA-PBE, optimized geometry); V = 25.66 Å³/atom; mass density = 8.11 Mg/m³; magnetization = 0.0 μB per formula unit; energy relative to the elements, uncorrected = 0.477 eV per atom
1.0
4.8668 0.0000 0.0000
0.0000 4.8668 0.0000
0.0000 0.0000 5.4171
Co Sb Au I
1 2 1 1
Direct
0.0000 0.0000 0.0000
0.0000 0.5000 0.0000
0.5000 0.0000 0.0000
0.5000 0.5000 0.5000
0.0000 0.0000 0.5000


Entry 3:
CoSb2AuI (GGA-PBE, optimized geometry); V = 32.81 Å³/atom; mass density = 6.34 Mg/m³; magnetization = 2.7 μB per formula unit; energy relative to the elements, uncorrected = 1.146 eV per atom
1.0
5.3965 0.0000 0.0000
0.0000 5.3965 0.0000
0.0000 0.0000 5.6328
Co Sb Au I
1 2 1 1
Direct
0.0000 0.0000 0.0000
0.0000 0.5000 0.5000
0.5000 0.0000 0.5000
0.5000 0.5000 0.5000
0.5000 0.5000 0.0000


Entry 4:
CoSiAuI2 (GGA-PBE, optimized geometry); V = 24.46 Å³/atom; mass density = 7.30 Mg/m³; magnetization = 0.0 μB per formula unit; energy relative to the elements, uncorrected = 0.539 eV per atom
1.0
5.3495 0.0000 0.0000
0.0000 5.3495 0.0000
0.0000 0.0000 4.2737
Co Si Au I
1 1 1 2
Direct
0.0000 0.0000 0.0000
0.0000 0.0000 0.5000
0.5000 0.5000 0.5000
0.0000 0.5000 0.0000
0.5000 0.0000 0.0000


Entry 5:
SrCoAu2I (GGA-PBE, optimized geometry); V = 28.67 Å³/atom; mass density = 7.73 Mg/m³; magnetization = 1.8 μB per formula unit; energy relative to the elements, uncorrected = -0.047 eV per atom
1.0
4.8506 0.0000 0.0000
0.0000 4.8506 0.0000
0.0000 0.0000 6.0924
Sr Co Au I
1 1 2 1
Direct
0.0000 0.0000 0.0000
0.0000 0.0000 0.5000
0.0000 0.5000 0.5000
0.5000 0.0000 0.5000
0.5000 0.5000 0.0000


Entry 6:
TaCo2AuI (GGA-PBE, optimized geometry); V = 22.49 Å³/atom; mass density = 9.20 Mg/m³; magnetization = 5.5 μB per formula unit; energy relative to the elements, uncorrected = 1.507 eV per atom
1.0
4.7417 0.0000 0.0000
0.0000 4.7417 0.0000
0.0000 0.0000 5.0005
Ta Co Au I
1 2 1 1
Direct
0.0000 0.0000 0.0000
0.0000 0.5000 0.5000
0.5000 0.0000 0.5000
0.0000 0.0000 0.5000
0.5000 0.5000 0.0000


Entry 7:
TiCo2AuI (GGA-PBE, optimized geometry); V = 20.79 Å³/atom; mass density = 7.82 Mg/m³; magnetization = 1.5 μB per formula unit; energy relative to the elements, uncorrected = 1.143 eV per atom
1.0
4.5629 0.0000 0.0000
0.0000 4.5629 0.0000
0.0000 0.0000 4.9925
Ti Co Au I
1 2 1 1
Direct
0.0000 0.0000 0.0000
0.0000 0.5000 0.5000
0.5000 0.0000 0.5000
0.5000 0.5000 0.0000
0.0000 0.0000 0.5000


Entry 8:
V2CoAuI (GGA-PBE, optimized geometry); V = 19.36 Å³/atom; mass density = 8.31 Mg/m³; magnetization = 0.0 μB per formula unit; energy relative to the elements, uncorrected = 1.069 eV per atom
1.0
4.4164 0.0000 0.0000
0.0000 4.4164 0.0000
0.0000 0.0000 4.9627
V Co Au I
2 1 1 1
Direct
0.0000 0.5000 0.0000
0.5000 0.0000 0.0000
0.0000 0.0000 0.0000
0.5000 0.5000 0.5000
0.0000 0.0000 0.5000


Entry 9:
ZrCoAu2I (GGA-PBE, optimized geometry); V = 28.63 Å³/atom; mass density = 7.78 Mg/m³; magnetization = 1.7 μB per formula unit; energy relative to the elements, uncorrected = 1.480 eV per atom
1.0
5.1847 0.0000 0.0000
0.0000 5.1847 0.0000
0.0000 0.0000 5.3246
Zr Co Au I
1 1 2 1
Direct
0.0000 0.0000 0.0000
0.5000 0.5000 0.0000
0.0000 0.5000 0.5000
0.5000 0.0000 0.5000
0.0000 0.0000 0.5000


Entry 10:
In4CoAu (GGA-PBE, optimized geometry); V = 23.76 Å³/atom; ΔE_f = 0.6495 eV per atom; mass density = 8.33 Mg/m³; magnetization = 1.7 μB per formula unit
1.0
0.0000 4.1461 4.1461
4.1461 0.0000 4.1461
4.1461 4.1461 0.0000
In Co Au
4 1 1
Direct
0.1251 0.1251 0.1251
0.1251 0.1251 0.6247
0.1251 0.6247 0.1251
0.6247 0.1251 0.1251
0.5000 0.5000 0.5000
0.7500 0.7500 0.7500


Entry 11:
InCo2Au2 (GGA-PBE, optimized geometry); V = 16.38 Å³/atom; ΔE_f = 0.1843 eV per atom; mass density = 12.71 Mg/m³; magnetization = 2.8 μB per formula unit
1.0
6.6393 0.0000 0.0000
0.0000 6.6393 0.0000
0.0000 0.0000 3.7157
In Co Au
2 4 4
Direct
0.0000 0.0000 0.0000
0.5000 0.5000 0.0000
0.1204 0.3796 0.0000
0.3796 0.8796 0.0000
0.6204 0.1204 0.0000
0.8796 0.6204 0.0000
0.1709 0.6709 0.5000
0.3291 0.1709 0.5000
0.6709 0.8291 0.5000
0.8291 0.3291 0.5000


Entry 12:
InCo3Au (GGA-PBE, optimized geometry); V = 20.85 Å³/atom; ΔE_f = 1.2655 eV per atom; mass density = 7.78 Mg/m³; magnetization = 5.8 μB per formula unit
1.0
4.7064 0.0000 0.0000
0.0000 4.7064 0.0000
0.0000 0.0000 4.7064
In Co Au
1 3 1
Direct
0.0000 0.0000 0.0000
0.0000 0.5000 0.5000
0.5000 0.0000 0.5000
0.5000 0.5000 0.0000
0.5000 0.5000 0.5000


Entry 13:
InCo2Au (GGA-PBE, optimized geometry); V = 15.71 Å³/atom; ΔE_f = 0.2866 eV per atom; mass density = 11.35 Mg/m³; magnetization = 3.0 μB per formula unit
1.0
4.4581 -1.5417 0.0000
4.4581 1.5417 0.0000
-1.2547 0.0000 4.5724
In Co Au
1 2 1
Direct
0.0000 0.0000 0.0000
0.2493 0.2493 0.7127
0.7507 0.7507 0.2873
0.5000 0.5000 0.5000


Entry 14:
In2CoAu (GGA-PBE, optimized geometry); V = 18.81 Å³/atom; ΔE_f = 0.1386 eV per atom; mass density = 10.71 Mg/m³; magnetization = 1.0 μB per formula unit
1.0
3.6197 0.0000 0.0000
0.0000 3.6299 0.0000
0.0000 0.0000 5.7276
In Co Au
2 1 1
Direct
0.0000 0.0000 0.0000
0.5000 0.5000 0.3154
0.0000 0.0000 0.4994
0.5000 0.5000 0.7854


Entry 15:
In2CoAu (GGA-PBE, optimized geometry); V = 19.09 Å³/atom; ΔE_f = 0.0018 eV per atom; mass density = 10.56 Mg/m³; magnetization = 0.2 μB per formula unit
1.0
-1.4750 2.1690 5.9681
1.4750 -2.1690 5.9681
1.4750 2.1690 -5.9681
In Co Au
2 1 1
Direct
0.0000 0.0000 0.0000
0.7057 0.2057 0.5000
0.5191 0.5191 0.0000
0.3247 0.8247 0.5000


Entry 16:
In2CoAu (GGA-PBE, optimized geometry); V = 17.92 Å³/atom; ΔE_f = 0.1279 eV per atom; mass density = 11.25 Mg/m³; magnetization = 0.0 μB per formula unit
1.0
-1.9968 1.9968 4.4954
1.9968 -1.9968 4.4954
1.9968 1.9968 -4.4954
In Co Au
2 1 1
Direct
0.0000 0.0000 0.0000
0.7500 0.2500 0.5000
0.5000 0.5000 0.0000
0.2500 0.7500 0.5000


Entry 17:
InCoAu3 (GGA-PBE, optimized geometry); V = 22.89 Å³/atom; ΔE_f = 0.5240 eV per atom; mass density = 11.10 Mg/m³; magnetization = 1.9 μB per formula unit
1.0
4.8550 0.0000 0.0000
0.0000 4.8550 0.0000
0.0000 0.0000 4.8550
In Co Au
1 1 3
Direct
0.0000 0.0000 0.0000
0.5000 0.5000 0.5000
0.0000 0.5000 0.5000
0.5000 0.0000 0.5000
0.5000 0.5000 0.0000


Entry 18:
In2CoAu (GGA-PBE, optimized geometry); V = 18.74 Å³/atom; ΔE_f = 0.1854 eV per atom; mass density = 10.75 Mg/m³; magnetization = 1.2 μB per formula unit
1.0
4.4499 -1.6151 0.0000
4.4499 1.6151 0.0000
-1.2372 0.0000 5.2155
In Co Au
2 1 1
Direct
0.2399 0.2399 0.2315
0.7601 0.7601 0.7685
0.5000 0.5000 0.0000
0.0000 0.0000 0.5000


Entry 19:
InCoAu3 (GGA-PBE, optimized geometry); V = 27.29 Å³/atom; ΔE_f = 1.0991 eV per atom; mass density = 9.31 Mg/m³; magnetization = 2.3 μB per formula unit
1.0
5.1480 0.0000 0.0000
0.0000 5.1480 0.0000
0.0000 0.0000 5.1480
In Co Au
1 1 3
Direct
0.0000 0.0000 0.0000
0.5000 0.5000 0.5000
0.0000 0.0000 0.5000
0.0000 0.5000 0.0000
0.5000 0.0000 0.0000


Entry 20:
In2CoAu (GGA-PBE, optimized geometry); V = 19.34 Å³/atom; ΔE_f = 0.1729 eV per atom; mass density = 10.42 Mg/m³; magnetization = 1.0 μB per formula unit
1.0
3.1432 0.0000 0.0000
0.0000 3.1432 0.0000
0.0000 0.0000 7.8305
In Co Au
2 1 1
Direct
0.0000 0.0000 0.0000
0.5000 0.5000 0.3471
0.5000 0.5000 0.8062
0.0000 0.0000 0.6056


Entry 21:
In2CoAu (GGA-PBE, optimized geometry); V = 17.96 Å³/atom; ΔE_f = 0.1493 eV per atom; mass density = 11.22 Mg/m³; magnetization = 0.7 μB per formula unit
1.0
-2.1364 2.1364 3.9345
2.1364 -2.1364 3.9345
2.1364 2.1364 -3.9345
In Co Au
2 1 1
Direct
0.2500 0.7500 0.5000
0.7500 0.2500 0.5000
0.0000 0.0000 0.0000
0.5000 0.5000 0.0000


Entry 22:
In2CoAu (GGA-PBE, optimized geometry); V = 18.14 Å³/atom; ΔE_f = 0.1240 eV per atom; mass density = 11.11 Mg/m³; magnetization = 0.9 μB per formula unit
1.0
3.0656 -3.5536 0.0000
3.0656 3.5536 0.0000
-0.0170 0.0000 3.3296
In Co Au
2 1 1
Direct
0.0000 0.5000 0.0000
0.5000 0.0000 0.0000
0.0000 0.0000 0.5000
0.5000 0.5000 0.5000


Entry 23:
InCo2Au (GGA-PBE, optimized geometry); V = 14.90 Å³/atom; ΔE_f = 0.1920 eV per atom; mass density = 11.97 Mg/m³; magnetization = 2.2 μB per formula unit
1.0
4.0455 0.0000 0.0000
0.0000 4.0455 0.0000
0.0000 0.0000 3.6405
In Co Au
1 2 1
Direct
0.0000 0.0000 0.0000
0.0000 0.5000 0.5000
0.5000 0.0000 0.5000
0.5000 0.5000 0.0000


Entry 24:
InCo2Au (GGA-PBE, optimized geometry); V = 15.43 Å³/atom; ΔE_f = 0.2082 eV per atom; mass density = 11.56 Mg/m³; magnetization = 3.0 μB per formula unit
1.0
2.9414 0.0000 0.0000
0.0000 4.0993 0.0000
-1.4613 0.0000 5.1172
In Co Au
1 2 1
Direct
0.0000 0.0000 0.0000
0.2721 0.0000 0.5461
0.3863 0.5000 0.7696
0.6605 0.5000 0.3223


Entry 25:
InCo2Au (GGA-PBE, optimized geometry); V = 15.28 Å³/atom; ΔE_f = 0.1792 eV per atom; mass density = 11.67 Mg/m³; magnetization = 3.0 μB per formula unit
1.0
-1.7458 2.1211 4.1258
1.7458 -2.1211 4.1258
1.7458 2.1211 -4.1258
In Co Au
1 2 1
Direct
0.0000 0.0000 0.0000
0.5328 0.5328 0.0000
0.7322 0.2322 0.5000
0.2712 0.7712 0.5000


Entry 26:
InCoAu (GGA-PBE, optimized geometry); V = 16.48 Å³/atom; ΔE_f = 0.1701 eV per atom; mass density = 12.45 Mg/m³; magnetization = 0.0 μB per formula unit
1.0
-1.5334 1.5334 5.2578
1.5334 -1.5334 5.2578
1.5334 1.5334 -5.2578
In Co Au
1 1 1
Direct
0.0000 0.0000 0.0000
0.6479 0.6479 0.0000
0.3039 0.3039 0.0000


Entry 27:
In2CoAu (GGA-PBE, optimized geometry); V = 19.82 Å³/atom; ΔE_f = 0.3059 eV per atom; mass density = 10.17 Mg/m³; magnetization = 0.4 μB per formula unit
1.0
-3.7092 3.7092 2.8815
3.7092 -3.7092 2.8815
3.7092 3.7092 -2.8815
In Co Au
4 2 2
Direct
0.0964 0.6250 0.9714
0.3750 0.3464 0.4714
0.6536 0.1250 0.0286
0.8750 0.9036 0.5286
0.0000 0.0000 0.0000
0.7500 0.2500 0.5000
0.2500 0.7500 0.5000
0.5000 0.5000 0.0000


Entry 28:
InCoAu (GGA-PBE, optimized geometry); V = 18.59 Å³/atom; ΔE_f = 0.1952 eV per atom; mass density = 11.04 Mg/m³; magnetization = 0.0 μB per formula unit
1.0
0.0000 3.0325 3.0325
3.0325 0.0000 3.0325
3.0325 3.0325 0.0000
In Co Au
1 1 1
Direct
0.0000 0.0000 0.0000
0.7500 0.7500 0.7500
0.5000 0.5000 0.5000


Entry 29:
InCo4Au2 (GGA-PBE, optimized geometry); V = 19.68 Å³/atom; ΔE_f = 1.2482 eV per atom; mass density = 8.97 Mg/m³; magnetization = 6.5 μB per formula unit
1.0
-2.3264 2.3264 6.3645
2.3264 -2.3264 6.3645
2.3264 2.3264 -6.3645
In Co Au
1 4 2
Direct
0.0000 0.0000 0.0000
0.0000 0.5000 0.5000
0.1975 0.1975 0.0000
0.5000 0.0000 0.5000
0.8025 0.8025 0.0000
0.3903 0.3903 0.0000
0.6097 0.6097 0.0000